[1]
7
Lattice="4.715 -0.001 0.000 2.358 5.026 1.764 0.001 2.736 8.674" Properties=species:S:1:pos:R:3 comment="PBE Ba2Al2Si2As, optimized geometry" dft_energy_ev_per_atom=-4.27 total_magnetization_mub_per_fu=0.0 crystal_system=monoclinic e_form_raw_mev_per_atom=-438 pbc="T T T"
Ba 4.717 6.499 8.509
Ba 2.358 1.263 1.928
Al 4.716 4.003 6.352
Al 2.359 3.759 4.085
Si 4.716 2.578 4.268
Si 2.359 5.184 6.170
As 0.000 0.000 0.000


[2]
3
Lattice="5.094 0.000 0.000 2.547 4.411 0.000 2.547 1.470 4.159" Properties=species:S:1:pos:R:3 comment="PBE SrMoAs, optimized geometry" dft_energy_ev_per_atom=-4.59 ef_ev_per_atom=1.131 total_magnetization_mub_per_fu=5.0 crystal_system=cubic pbc="T T T"
Sr 7.640 4.411 3.119
Mo 5.094 2.941 2.079
As 0.000 0.000 0.000


[3]
10
Lattice="-1.531 -4.870 -2.601 -0.810 -0.204 6.020 -6.681 -0.304 -2.465" Properties=species:S:1:pos:R:3 comment="PBE Mg3AlGa, optimized geometry" dft_energy_ev_per_atom=-2.35 ef_ev_per_atom=-0.037 relative_energy_ev_per_fu=0.00 total_magnetization_mub_per_fu=0.0 crystal_system=triclinic pbc="T T T"
Mg -6.814 -1.654 -3.060
Mg -2.209 -3.724 4.015
Mg -1.358 -1.074 2.266
Mg -7.665 -4.305 -1.311
Mg -4.301 -1.373 3.003
Mg -4.722 -4.005 -2.049
Al -6.039 -3.239 0.897
Al -2.983 -2.140 0.058
Ga -3.765 -4.173 1.694
Ga -5.257 -1.205 -0.740


[4]
6
Lattice="14.196 0.000 -0.001 4.740 2.987 -2.532 -4.740 2.987 2.532" Properties=species:S:1:pos:R:3 comment="PBE KCaTa, optimized geometry" dft_energy_ev_per_atom=-3.94 ef_ev_per_atom=1.043 relative_energy_ev_per_fu=2.13 total_magnetization_mub_per_fu=0.0 crystal_system=monoclinic pbc="T T T"
Ca 14.261 2.987 -0.063
Ca 4.820 2.987 1.306
K 7.419 2.987 -1.537
K 17.409 2.987 -2.301
Ta 10.565 2.987 0.242
Ta 11.321 2.987 -1.904


[5]
5
Lattice="4.110 0.000 0.000 0.000 4.110 0.000 0.000 0.000 5.354" Properties=species:S:1:pos:R:3 comment="PBE AgHgPO2, optimized geometry" dft_energy_ev_per_atom=-2.88 relative_energy_ev_per_fu=1.00 total_magnetization_mub_per_fu=0.8 crystal_system=tetragonal e_form_raw_mev_per_atom=816 pbc="T T T"
O 0.000 2.055 0.000
O 2.055 0.000 0.000
P 0.000 0.000 2.677
Hg 0.000 0.000 0.000
Ag 2.055 2.055 2.677


[6]
3
Lattice="-1.159 -6.504 0.029 2.021 -5.630 -2.804 1.044 5.811 2.964" Properties=species:S:1:pos:R:3 comment="PBE ZnCdAs, optimized geometry" dft_energy_ev_per_atom=-2.09 ef_ev_per_atom=0.190 relative_energy_ev_per_fu=0.75 total_magnetization_mub_per_fu=0.0 crystal_system=tetragonal pbc="T T T"
As 0.013 -0.182 -0.042
Cd 0.280 -3.945 -0.902
Zn 0.569 -8.007 -1.831


[7]
20
Lattice="5.457 0.000 0.000 2.729 7.812 0.432 2.729 1.632 7.652" Properties=species:S:1:pos:R:3 comment="PBE Tm2Ga5Co3, optimized geometry" dft_energy_ev_per_atom=-5.04 ef_ev_per_atom=-0.502 total_magnetization_mub_per_fu=0.0 crystal_system=orthorhombic pbc="T T T"
Tm 2.729 4.697 1.242
Tm 5.457 1.952 4.449
Tm 8.186 4.747 6.842
Tm 5.457 7.492 3.634
Ga 5.457 3.534 6.974
Ga 8.186 7.436 2.416
Ga 5.457 5.910 1.109
Ga 2.729 2.008 5.668
Ga 6.821 7.542 6.456
Ga 4.093 1.901 1.628
Ga 6.821 4.722 4.042
Ga 4.093 4.722 4.042
Ga 1.364 1.901 1.628
Ga 9.550 7.542 6.456
Co 5.457 5.646 5.860
Co 8.186 6.661 4.674
Co 5.457 3.798 2.224
Co 2.729 2.783 3.410
Co 1.364 0.000 0.000
Co 4.093 0.000 0.000


[8]
4
Lattice="5.946 0.000 0.000 0.000 3.298 -0.009 0.000 3.189 4.963" Properties=species:S:1:pos:R:3 comment="PBE ScCd2Cl, optimized geometry" dft_energy_ev_per_atom=-2.88 relative_energy_ev_per_fu=0.84 total_magnetization_mub_per_fu=0.4 crystal_system=monoclinic e_form_raw_mev_per_atom=-381 pbc="T T T"
Cd 0.000 3.919 4.949
Cd 0.000 2.513 2.492
Cl 2.973 1.622 1.239
Sc 2.973 4.865 3.716


[9]
12
Lattice="5.628 0.000 0.000 0.000 6.229 0.541 0.000 -1.545 6.058" Properties=species:S:1:pos:R:3 comment="PBE ThAl3Rh2, optimized geometry" dft_energy_ev_per_atom=-6.39 ef_ev_per_atom=-0.831 total_magnetization_mub_per_fu=0.0 crystal_system=orthorhombic pbc="T T T"
Th 1.407 1.679 2.366
Th 4.221 3.005 4.233
Al 4.221 2.668 0.851
Al 4.221 -0.077 2.799
Al 1.407 2.016 5.748
Al 4.221 0.141 0.198
Al 1.407 4.543 6.401
Al 1.407 4.760 3.800
Rh 2.814 4.519 1.754
Rh 0.000 4.519 1.754
Rh 0.000 0.165 4.845
Rh 2.814 0.165 4.845


[10]
4
Lattice="5.070 0.000 0.000 0.000 5.070 0.000 0.000 0.000 7.137" Properties=species:S:1:pos:R:3 comment="PBE Ba2SbPb, optimized geometry" dft_energy_ev_per_atom=-3.35 relative_energy_ev_per_fu=1.18 total_magnetization_mub_per_fu=0.8 crystal_system=tetragonal e_form_raw_mev_per_atom=-429 pbc="T T T"
Ba 0.000 0.000 6.253
Ba 2.535 2.535 2.667
Pb 0.000 0.000 2.690
Sb 2.535 2.535 6.232


[11]
6
Lattice="-2.290 -1.462 0.545 1.528 -1.905 1.310 -1.365 5.958 10.246" Properties=species:S:1:pos:R:3 comment="PBE ReTcPt4, optimized geometry" dft_energy_ev_per_atom=-7.99 ef_ev_per_atom=-0.164 relative_energy_ev_per_fu=0.00 total_magnetization_mub_per_fu=0.0 crystal_system=tetragonal pbc="T T T"
Re -1.064 1.295 6.051
Tc 0.000 0.000 0.000
Pt -0.899 3.925 6.750
Pt -1.531 3.332 9.553
Pt -0.597 -0.742 2.549
Pt 1.062 0.128 4.807


[12]
28
Lattice="3.379 0.000 0.000 0.000 15.529 0.000 0.000 0.000 10.427" Properties=species:S:1:pos:R:3 comment="PBE Ca3VN3, optimized geometry" dft_energy_ev_per_atom=-6.64 relative_energy_ev_per_fu=1.10 total_magnetization_mub_per_fu=0.0 crystal_system=orthorhombic e_form_raw_mev_per_atom=-909 pbc="T T T"
Ca 2.534 10.362 8.408
Ca 0.845 12.931 3.195
Ca 0.845 5.167 2.019
Ca 2.534 2.598 7.232
Ca 2.534 1.982 0.152
Ca 0.845 5.783 5.366
Ca 0.845 13.547 10.275
Ca 2.534 9.746 5.061
Ca 2.534 14.406 6.252
Ca 0.845 8.887 1.039
Ca 0.845 1.123 4.175
Ca 2.534 6.642 9.388
V 2.534 15.168 2.077
V 0.845 8.125 7.290
V 0.845 0.360 8.350
V 2.534 7.404 3.137
N 2.534 15.079 8.829
N 0.845 8.214 3.616
N 0.845 0.450 1.598
N 2.534 7.315 6.811
N 2.534 14.973 3.866
N 0.845 8.320 9.079
N 0.845 0.556 6.562
N 2.534 7.208 1.348
N 2.534 13.499 1.508
N 0.845 9.794 6.722
N 0.845 2.029 8.919
N 2.534 5.735 3.705


[13]
10
Lattice="-3.753 0.378 0.937 -0.966 -2.396 -2.903 1.575 -16.177 12.827" Properties=species:S:1:pos:R:3 comment="PBE CsTh4Te5, optimized geometry" dft_energy_ev_per_atom=-5.75 total_magnetization_mub_per_fu=0.0 crystal_system=tetragonal e_form_raw_mev_per_atom=-1125 pbc="T T T"
Cs 0.000 0.000 0.000
Th 0.347 -3.560 2.823
Th 0.641 -6.584 5.220
Th 0.934 -9.593 7.606
Th 1.228 -12.617 10.004
Te -2.149 -3.172 0.732
Te -1.864 -6.098 3.052
Te -1.572 -9.098 5.430
Te -1.280 -12.097 7.808
Te -0.995 -15.023 10.128


[14]
7
Lattice="4.399 0.000 0.000 2.200 3.810 0.000 2.200 1.270 9.317" Properties=species:S:1:pos:R:3 comment="PBE La2TmGa2Cu2, optimized geometry" dft_energy_ev_per_atom=-4.49 ef_ev_per_atom=-0.412 total_magnetization_mub_per_fu=0.0 crystal_system=trigonal pbc="T T T"
La 2.200 1.270 5.816
La 6.599 3.810 3.501
Tm 0.000 0.000 0.000
Ga 6.599 3.810 7.633
Ga 2.200 1.270 1.684
Cu 4.399 2.540 1.528
Cu 4.399 2.540 7.789


[15]
10
Lattice="9.139 0.000 0.000 0.000 9.139 0.000 0.000 0.000 3.496" Properties=species:S:1:pos:R:3 comment="PBE La2Mg2Zr, optimized geometry" dft_energy_ev_per_atom=-4.09 ef_ev_per_atom=0.230 relative_energy_ev_per_fu=0.00 total_magnetization_mub_per_fu=0.0 crystal_system=tetragonal pbc="T T T"
Mg 3.509 8.078 0.000
Mg 8.078 5.631 0.000
Mg 5.631 1.061 0.000
Mg 1.061 3.509 0.000
Zr 0.000 0.000 0.000
Zr 4.570 4.570 0.000
La 1.660 6.230 1.748
La 6.230 7.479 1.748
La 7.479 2.909 1.748
La 2.909 1.660 1.748


[16]
4
Lattice="0.000 3.453 3.453 3.453 0.000 3.453 3.453 3.453 0.000" Properties=species:S:1:pos:R:3 comment="PBE KSi2P, optimized geometry" dft_energy_ev_per_atom=-3.44 relative_energy_ev_per_fu=3.19 total_magnetization_mub_per_fu=0.0 crystal_system=cubic e_form_raw_mev_per_atom=896 pbc="T T T"
P 0.000 0.000 0.000
K 3.453 3.453 3.453
Si 1.726 1.726 1.726
Si 5.179 5.179 5.179


[17]
4
Lattice="-5.606 5.157 3.823 -2.485 6.319 5.151 -3.610 7.471 1.947" Properties=species:S:1:pos:R:3 comment="PBE GaAsS2, optimized geometry" dft_energy_ev_per_atom=-3.95 total_magnetization_mub_per_fu=0.0 crystal_system=trigonal e_form_raw_mev_per_atom=30 pbc="T T T"
As -5.850 9.473 5.460
S -10.448 16.918 9.751
S -1.253 2.028 1.169
Ga 0.000 0.000 0.000


[18]
15
Lattice="7.124 0.000 3.217 3.562 8.752 1.608 -0.039 0.000 9.585" Properties=species:S:1:pos:R:3 comment="PBE Tb4Nd10Tm, optimized geometry" dft_energy_ev_per_atom=-4.02 ef_ev_per_atom=0.691 total_magnetization_mub_per_fu=0.0 crystal_system=tetragonal pbc="T T T"
Tb 5.685 7.014 6.405
Tb 7.800 5.253 11.218
Tb 2.847 3.498 3.192
Tb 4.962 1.737 8.005
Nd 3.542 4.376 6.401
Nd 5.672 2.615 11.197
Nd 0.699 0.881 3.185
Nd 6.374 7.871 9.611
Nd 8.549 6.137 4.826
Nd 4.975 6.137 3.213
Nd 7.105 4.376 8.009
Nd 2.098 2.615 9.584
Nd 4.273 0.881 4.799
Nd 9.948 7.871 11.225
Tm 0.000 0.000 0.000